# PBE Ac2CuSiGe, optimized geometry
data_Ac2CuSiGe
_chemical_formula_sum 'Ac8 Cu4 Si4 Ge4'
_space_group_name_H-M_alt 'C m c m'
_space_group_IT_number 63
_space_group_name_Hall '-C 2c 2'
_cell_length_a 8.640
_cell_length_b 15.055
_cell_length_c 4.286
_cell_angle_alpha 90.00
_cell_angle_beta 90.00
_cell_angle_gamma 90.00
loop_
_atom_site_label
_atom_site_fract_x
_atom_site_fract_y
_atom_site_fract_z
Ac1 0.237 0.126 0.250
Cu1 0.000 0.290 0.250
Si1 0.000 0.219 0.750
Ge1 0.000 0.452 0.250
# N(E_F), states/eV/f.u.: 3.6
# Total magnetic moment, μB per cell: 0.00
# Total DFT energy (no corrections), eV per atom: -4.994


# PBE LaAgGeO4, optimized geometry
data_LaAgGeO4
_chemical_formula_sum 'La4 Ag4 Ge4 O16'
_space_group_name_H-M_alt 'I m m a'
_space_group_IT_number 74
_space_group_name_Hall '-I 2b 2'
_cell_length_a 6.104
_cell_length_b 7.946
_cell_length_c 8.613
_cell_angle_alpha 90.00
_cell_angle_beta 90.00
_cell_angle_gamma 90.00
loop_
_atom_site_label
_atom_site_fract_x
_atom_site_fract_y
_atom_site_fract_z
La1 0.000 0.000 0.000
Ag1 0.250 0.250 0.250
Ge1 0.000 0.250 0.623
O1 0.000 0.061 0.729
O2 0.246 0.250 0.499
# N(E_F), states/eV/f.u.: 0.0
# Total magnetic moment, μB per cell: 0.00
# Total DFT energy (no corrections), eV per atom: -6.533


# PBE NaCrIn2Os, optimized geometry
data_NaCrIn2Os
_chemical_formula_sum 'Na1 Cr1 In2 Os1'
_space_group_name_H-M_alt 'P 4/m m m'
_space_group_IT_number 123
_space_group_name_Hall '-P 4 2'
_cell_length_a 5.127
_cell_length_b 5.127
_cell_length_c 4.472
_cell_angle_alpha 90.00
_cell_angle_beta 90.00
_cell_angle_gamma 90.00
loop_
_atom_site_label
_atom_site_fract_x
_atom_site_fract_y
_atom_site_fract_z
Na1 0.000 0.000 0.000
Cr1 0.500 0.500 0.500
In1 0.000 0.500 0.500
Os1 0.500 0.500 0.000
# N(E_F), states/eV/f.u.: 3.5
# Total magnetic moment, μB per cell: 1.55
# E_form, eV per atom: 0.728
# Total DFT energy (no corrections), eV per atom: -4.802


# PBE Rb2TaHBr6, optimized geometry
data_Rb2TaHBr6
_chemical_formula_sum 'Rb8 Ta4 H4 Br24'
_space_group_name_H-M_alt 'F m -3 m'
_space_group_IT_number 225
_space_group_name_Hall '-F 4 2 3'
_cell_length_a 10.914
_cell_length_b 10.914
_cell_length_c 10.914
_cell_angle_alpha 90.00
_cell_angle_beta 90.00
_cell_angle_gamma 90.00
loop_
_atom_site_label
_atom_site_fract_x
_atom_site_fract_y
_atom_site_fract_z
Rb1 0.250 0.250 0.250
Ta1 0.000 0.000 0.000
H1 0.000 0.000 0.500
Br1 0.000 0.000 0.237
# N(E_F), states/eV/f.u.: 8.4
# Total magnetic moment, μB per cell: 8.00
# Total DFT energy (no corrections), eV per atom: -3.645


# PBE Ta2InN, optimized geometry
data_Ta2InN
_chemical_formula_sum 'Ta8 In4 N4'
_space_group_name_H-M_alt 'F m -3 m'
_space_group_IT_number 225
_space_group_name_Hall '-F 4 2 3'
_cell_length_a 6.353
_cell_length_b 6.353
_cell_length_c 6.353
_cell_angle_alpha 90.00
_cell_angle_beta 90.00
_cell_angle_gamma 90.00
loop_
_atom_site_label
_atom_site_fract_x
_atom_site_fract_y
_atom_site_fract_z
Ta1 0.250 0.250 0.250
In1 0.000 0.000 0.000
N1 0.000 0.000 0.500
# N(E_F), states/eV/f.u.: 5.0
# Total magnetic moment, μB per cell: 0.00
# Total DFT energy (no corrections), eV per atom: -7.572


# PBE SmY, optimized geometry
data_SmY
_chemical_formula_sum 'Sm1 Y1'
_space_group_name_H-M_alt 'P m -3 m'
_space_group_IT_number 221
_space_group_name_Hall '-P 4 2 3'
_cell_length_a 4.060
_cell_length_b 4.060
_cell_length_c 4.060
_cell_angle_alpha 90.00
_cell_angle_beta 90.00
_cell_angle_gamma 90.00
loop_
_atom_site_label
_atom_site_fract_x
_atom_site_fract_y
_atom_site_fract_z
Sm1 0.000 0.000 0.000
Y1 0.500 0.500 0.500
# Excess energy over the best structure of this formula in the dataset, eV per atom: 0.0975
# N(E_F), states/eV/f.u.: 4.1
# Total magnetic moment, μB per cell: 0.00
# E_form, eV per atom: 0.113
# Total DFT energy (no corrections), eV per atom: -5.478